This record from Alexandria via LeMat-Bulk describes KCoSn3 after structural relaxation. The functional is PBE.

It has space group Pm-3m (No. 221), with a = 5.084 Å, b = 5.084 Å, c = 5.084 Å, α = 90.00°, β = 90.00° and γ = 90.00°. The inequivalent atoms are K at (0.000, 0.000, 0.000), Co at (0.500, 0.500, 0.500) and Sn at (0.000, 0.500, 0.500).

The energy above the lowest structure with this stoichiometry comes out at 0.000 eV per formula unit. For the formation energy, the calculation gives 0.0583 eV per atom. The total magnetization comes out at 0.217 μB/atom.

This record from Alexandria via LeMat-Bulk describes ZrAgMo after structural relaxation. The functional is PBE.

It has space group P4/nmm (No. 129, origin choice 2), with a = 3.322 Å, b = 3.322 Å, c = 10.078 Å, α = 90.00°, β = 90.00° and γ = 90.00°. The inequivalent atoms are Zr at (0.250, 0.250, 0.244), Ag at (0.250, 0.250, 0.579) and Mo at (0.250, 0.250, 0.927).

The energy above the lowest structure with this stoichiometry comes out at 0.000 eV per formula unit. For the formation energy, the calculation gives -0.0436 eV per atom. The total magnetization comes out at 0.000 μB/atom.

This record from Alexandria via LeMat-Bulk describes LiZrTc2 after structural relaxation. The functional is PBE.

It has space group P2/m (No. 10), with a = 2.715 Å, b = 4.513 Å, c = 5.240 Å, α = 90.00°, β = 99.18° and γ = 90.00°. The inequivalent atoms are Li at (0.000, 0.000, 0.000), Zr at (0.500, 0.000, 0.500) and Tc at (0.258, 0.500, 0.761).

The energy above the lowest structure with this stoichiometry comes out at 0.366 eV per formula unit. For the formation energy, the calculation gives 0.1482 eV per atom. The total magnetization comes out at 0.000 μB/atom.

This record from Alexandria via LeMat-Bulk describes TiFeTcIr after structural relaxation. The functional is PBE.

It has space group F-43m (No. 216), with a = 6.103 Å, b = 6.103 Å, c = 6.103 Å, α = 90.00°, β = 90.00° and γ = 90.00°. The inequivalent atoms are Ti at (0.000, 0.000, 0.000), Fe at (0.000, 0.000, 0.500), Tc at (0.250, 0.250, 0.250) and Ir at (0.250, 0.250, 0.750).

For the formation energy, the calculation gives -0.3366 eV per atom. The total magnetization comes out at 0.928 μB/atom.

Repeat the second record exactly.
This record from Alexandria via LeMat-Bulk describes ZrAgMo after structural relaxation. The functional is PBE.

It has space group P4/nmm (No. 129, origin choice 2), with a = 3.322 Å, b = 3.322 Å, c = 10.078 Å, α = 90.00°, β = 90.00° and γ = 90.00°. The inequivalent atoms are Zr at (0.250, 0.250, 0.244), Ag at (0.250, 0.250, 0.579) and Mo at (0.250, 0.250, 0.927).

The energy above the lowest structure with this stoichiometry comes out at 0.000 eV per formula unit. For the formation energy, the calculation gives -0.0436 eV per atom. The total magnetization comes out at 0.000 μB/atom.